Computed, not measured: crystalline NaZrTl3 at its relaxed geometry at the PBE level of DFT.

The structure in POSCAR format:
```
NaZrTl3
1.0
5.6964 0.0000 0.0000
0.0000 5.6964 0.0000
0.0000 0.0000 5.6964
Na Zr Tl
1 1 3
Direct
0.0000 0.0000 0.0000
0.5000 0.5000 0.5000
0.0000 0.5000 0.5000
0.5000 0.0000 0.5000
0.5000 0.5000 0.0000
```

Output
ΔE_f: 0.31 eV/atom
magnetic moment: 0.00 μB/cell
crystal system: cubic
E: -0.22642 Ry per atom

***

Computed, not measured: crystalline Y2ZrIn at its relaxed geometry at the PBE level of DFT.

The structure in POSCAR format:
```
Y2ZrIn
1.0
4.7269 0.0000 0.0000
0.0000 4.7269 0.0000
0.0000 0.0000 4.6907
Y Zr In
2 1 1
Direct
0.0000 0.5000 0.0000
0.5000 0.0000 0.0000
0.0000 0.0000 0.5000
0.5000 0.5000 0.5000
```

Output
ΔE_f: -0.19 eV/atom
magnetic moment: 0.00 μB/cell
crystal system: tetragonal
E: -0.45910 Ry per atom

***

Computed, not measured: crystalline BH3Br2 at its relaxed geometry at the PBE level of DFT.

The structure in POSCAR format:
```
BH3Br2
1.0
6.5354 -3.9590 0.0000
6.5354 3.9590 0.0000
-0.6336 0.0000 4.7704
B H Br
2 6 4
Direct
0.0406 0.9594 0.7500
0.9594 0.0406 0.2500
0.0274 0.1064 0.8955
0.1064 0.0274 0.3955
0.1913 0.8087 0.7500
0.8087 0.1913 0.2500
0.8936 0.9726 0.6045
0.9726 0.8936 0.1045
0.2813 0.3793 0.2606
0.3793 0.2813 0.7606
0.6207 0.7187 0.2394
0.7187 0.6207 0.7394
```

Output
magnetic moment: 0.00 μB/cell
crystal system: monoclinic
E: -0.23758 Ry per atom

***

Computed, not measured: crystalline Zr2HgTe4 at its relaxed geometry at the PBE level of DFT.

The structure in POSCAR format:
```
Zr2HgTe4
1.0
-4.3287 4.3287 6.1429
4.3287 -4.3287 6.1429
4.3287 4.3287 -6.1429
Zr Hg Te
4 2 8
Direct
0.0000 0.0000 0.0000
0.0000 0.0000 0.5000
0.0000 0.5000 0.0000
0.5000 0.0000 0.5000
0.3750 0.6250 0.7500
0.6250 0.3750 0.2500
0.2198 0.2394 0.9804
0.2394 0.2198 0.4804
0.2394 0.7590 0.0196
0.2410 0.7606 0.4804
0.7590 0.2394 0.5196
0.7606 0.2410 0.9804
0.7606 0.7802 0.5196
0.7802 0.7606 0.0196
```

Output
magnetic moment: 0.00 μB/cell
crystal system: tetragonal
formation energy (no corrections): -58 kJ per mole of atoms
E: -0.35903 Ry per atom

***

Computed, not measured: crystalline ScAlPb2 at its relaxed geometry at the PBE level of DFT.

The structure in POSCAR format:
```
ScAlPb2
1.0
1.7751 1.0248 9.2725
-1.7751 1.0248 9.2725
0.0000 -2.0497 9.2725
Sc Al Pb
1 1 2
Direct
0.0000 0.0000 0.0000
0.5000 0.5000 0.5000
0.2463 0.2463 0.2463
0.7537 0.7537 0.7537
```

Output
ΔE_f: 0.04 eV/atom
magnetic moment: 0.00 μB/cell
crystal system: trigonal
E: -0.31843 Ry per atom

***

Computed, not measured: crystalline LiY2Ru at its relaxed geometry at the PBE level of DFT.

The structure in POSCAR format:
```
LiY2Ru
1.0
4.8971 0.0000 0.0000
0.0000 4.8971 0.0000
0.0000 0.0000 3.5595
Li Y Ru
1 2 1
Direct
0.0000 0.0000 0.0000
0.0000 0.5000 0.5000
0.5000 0.0000 0.5000
0.5000 0.5000 0.0000
```

Output
ΔE_f: -0.16 eV/atom
magnetic moment: 0.00 μB/cell
crystal system: tetragonal
E: -0.45518 Ry per atom